(1)
Computed, not measured: Rb3Pm2ScS6 after structural relaxation at the PBE level of DFT.

As for the crystal system: monoclinic. As for the formation energy (no corrections): -1.780 eV per atom.

The structure belongs to space group C2/m (No. 12); the cell edges are 7.0845, 12.2697 and 8.0410 Å and the angles 90.00°, 107.12° and 90.00°. The inequivalent atoms are Rb at (0.0000, 0.0000, 0.0000), Rb at (0.0000, 0.3314, 0.0000), Pm at (0.0000, 0.1665, 0.5000), Sc at (0.0000, 0.5000, 0.5000), S at (0.2213, 0.3424, 0.6911) and S at (0.2490, 0.0000, 0.6917).

(2)
Computed, not measured: Y2TcOs2 after structural relaxation at the PBE level of DFT.

As for the crystal system: tetragonal. The value obtained for the energy of formation is -56 meV/atom. The value obtained for the excess energy over the best structure of this formula in the dataset is 3.551 kcal/mol of atoms.

The structure belongs to space group P4/mbm (No. 127); the cell edges are 6.6100, 6.6100 and 4.6814 Å and the angles 90.00°, 90.00° and 90.00°. The inequivalent atoms are Y at (0.1801, 0.3199, 0.0000), Tc at (0.0000, 0.0000, 0.5000) and Os at (0.1313, 0.6313, 0.5000).

(3)
Computed, not measured: KTm2PuO8 after structural relaxation at the PBE level of DFT.

As for the crystal system: monoclinic. As for the formation energy (no corrections): -2.553 eV per atom.

The structure belongs to space group P2/m (No. 10); the cell edges are 5.0482, 7.5543 and 5.0569 Å and the angles 90.00°, 90.01° and 90.00°. The inequivalent atoms are K at (0.0000, 0.0000, 0.0000), Tm at (0.5000, 0.2831, 0.5000), Pu at (0.0000, 0.5000, 0.0000), O at (0.1905, 0.3096, 0.8133), O at (0.2961, 0.5000, 0.2999) and O at (0.3902, 0.0000, 0.3962).

(4)
Computed, not measured: ScGeSbO6 after structural relaxation at the PBE level of DFT.

As for the crystal system: tetragonal. As for the formation energy (no corrections): -2.058 eV per atom.

The structure belongs to space group P4_2nm (No. 102); the cell edges are 4.6906, 4.6906 and 9.2753 Å and the angles 90.00°, 90.00° and 90.00°. The inequivalent atoms are Sc at (0.0000, 0.0000, 0.0000), Ge at (0.0000, 0.0000, 0.3322), Sb at (0.0000, 0.0000, 0.6667), O at (0.1844, 0.1844, 0.4936), O at (0.1945, 0.1945, 0.1774) and O at (0.2055, 0.2055, 0.8266).

(5)
Computed, not measured: TaInW4 after structural relaxation at the PBE level of DFT.

As for the crystal system: cubic. The value obtained for the energy of formation is 276 meV/atom.

The structure belongs to space group F-43m (No. 216); the cell edges are 7.5404, 7.5404 and 7.5404 Å and the angles 90.00°, 90.00° and 90.00°. The inequivalent atoms are Ta at (0.0000, 0.0000, 0.0000), In at (0.2500, 0.2500, 0.2500) and W at (0.1244, 0.1244, 0.6244).

(6)
Computed, not measured: Ca2Pr12Y7 after structural relaxation at the PBE level of DFT.

As for the crystal system: hexagonal. The value obtained for the energy of formation is 50 meV/atom.

The structure belongs to space group P-6 (No. 174); the cell edges are 15.3629, 15.3629 and 3.6537 Å and the angles 90.00°, 90.00° and 120.00°. The inequivalent atoms are Ca at (0.0000, 0.0000, 0.0000), Ca at (0.3333, 0.6667, 0.5000), Pr at (0.0519, 0.2598, 0.5000), Pr at (0.1219, 0.7130, 0.0000), Pr at (0.4147, 0.1521, 0.0000), Pr at (0.4958, 0.3988, 0.5000), Y at (0.0988, 0.4790, 0.0000), Y at (0.2321, 0.1859, 0.5000) and Y at (0.6667, 0.3333, 0.0000).

(7)
Computed, not measured: PmY2Tm9 after structural relaxation at the PBE level of DFT.

As for the crystal system: tetragonal. The value obtained for the energy of formation is 29 meV/atom. The value obtained for the excess energy over the best structure of this formula in the dataset is 0.000 kcal/mol of atoms.

The structure belongs to space group P4/mmm (No. 123); the cell edges are 4.9738, 4.9738 and 14.9098 Å and the angles 90.00°, 90.00° and 90.00°. The inequivalent atoms are Pm at (0.0000, 0.0000, 0.0000), Y at (0.0000, 0.0000, 0.3336), Tm at (0.0000, 0.5000, 0.1675), Tm at (0.0000, 0.5000, 0.5000), Tm at (0.5000, 0.5000, 0.0000) and Tm at (0.5000, 0.5000, 0.3342).

(8)
Computed, not measured: UTaCo2H6 after structural relaxation at the PBE level of DFT.

As for the crystal system: trigonal. As for the total energy: -0.4385 Ry per atom.

The structure belongs to space group R-3m (No. 166, hexagonal axes); the cell edges are 4.3659, 4.3659 and 15.1955 Å and the angles 90.00°, 90.00° and 120.00°. The inequivalent atoms are U at (0.0000, 0.0000, 0.0000), Ta at (0.0000, 0.0000, 0.5000), Co at (0.0000, 0.0000, 0.2048) and H at (0.0135, 0.5067, 0.0635).

One value per record, in order, for total moment: 0.0 0.0 1.0 0.0 0.0 0.0 0.0 13.6 μB per cell.